1.
# Na2TlVSe | Alexandria via LeMat-Bulk | PBE-GGA | optimized geometry
data_Na2TlVSe
_cell_length_a 5.8312
_cell_length_b 5.8312
_cell_length_c 4.7018
_cell_angle_alpha 90.00
_cell_angle_beta 90.00
_cell_angle_gamma 90.00
_space_group_name_H-M_alt 'P 4/m m m'
_space_group_IT_number 123
_space_group_name_Hall '-P 4 2'
loop_
_atom_site_label
_atom_site_type_symbol
_atom_site_fract_x
_atom_site_fract_y
_atom_site_fract_z
Na1 Na 0.0000 0.5000 0.0000
Tl1 Tl 0.0000 0.0000 0.5000
V1 V 0.5000 0.5000 0.0000
Se1 Se 0.5000 0.5000 0.5000
# E_form (uncorrected), kJ/mol of atoms: 14.2
# Density of states at the Fermi level, states/eV/atom: 0.356
# E_tot, eV per atom: -3.37
# Calculated density, g/cm3: 3.95

2.
# MgTa2Be | Alexandria via LeMat-Bulk | PBE-GGA | optimized geometry
data_MgTa2Be
_cell_length_a 9.9920
_cell_length_b 2.9550
_cell_length_c 4.8487
_cell_angle_alpha 90.00
_cell_angle_beta 114.06
_cell_angle_gamma 90.00
_space_group_name_H-M_alt 'C 1 m 1'
_space_group_IT_number 8
_space_group_name_Hall 'C -2y'
loop_
_atom_site_label
_atom_site_type_symbol
_atom_site_fract_x
_atom_site_fract_y
_atom_site_fract_z
Mg1 Mg 0.0000 0.0000 0.0000
Ta1 Ta 0.2177 0.0000 0.6439
Ta2 Ta 0.4511 0.0000 0.4571
Be1 Be 0.2331 0.5000 0.1190
# Formation enthalpy at 0 K, eV per atom: 0.288
# Density of states at the Fermi level, states/eV/atom: 0.576
# Excess energy over the best structure of this formula in the dataset, eV per formula unit: 0.63
# E_tot, eV per atom: -6.97
# Calculated density, g/cm3: 10.04

3.
# SrGePd | Alexandria via LeMat-Bulk | PBE-GGA | optimized geometry
data_SrGePd
_cell_length_a 4.5160
_cell_length_b 6.0025
_cell_length_c 6.2315
_cell_angle_alpha 87.70
_cell_angle_beta 69.19
_cell_angle_gamma 68.08
_space_group_name_H-M_alt 'P -1'
_space_group_IT_number 2
_space_group_name_Hall '-P 1'
loop_
_atom_site_label
_atom_site_type_symbol
_atom_site_fract_x
_atom_site_fract_y
_atom_site_fract_z
Sr1 Sr 0.2400 0.2068 0.3204
Ge1 Ge 0.0443 0.7964 0.1181
Pd1 Pd 0.3748 0.4007 0.8467
# Formation enthalpy at 0 K, eV per atom: -0.682
# Density of states at the Fermi level, states/eV/atom: 0.466
# E_tot, eV per atom: -4.51
# Calculated density, g/cm3: 6.08

4.
# KScTa2 | Alexandria via LeMat-Bulk | PBE-GGA | optimized geometry
data_KScTa2
_cell_length_a 7.1633
_cell_length_b 7.1633
_cell_length_c 7.1633
_cell_angle_alpha 90.00
_cell_angle_beta 90.00
_cell_angle_gamma 90.00
_space_group_name_H-M_alt 'F m -3 m'
_space_group_IT_number 225
_space_group_name_Hall '-F 4 2 3'
loop_
_atom_site_label
_atom_site_type_symbol
_atom_site_fract_x
_atom_site_fract_y
_atom_site_fract_z
K1 K 0.0000 0.0000 0.0000
Sc1 Sc 0.0000 0.0000 0.5000
Ta1 Ta 0.2500 0.2500 0.2500
# Formation enthalpy at 0 K, eV per atom: 1.664
# Density of states at the Fermi level, states/eV/atom: 1.760
# Excess energy over the best structure of this formula in the dataset, eV per formula unit: 4.43
# E_tot, eV per atom: -6.12
# Calculated density, g/cm3: 8.06

5.
# TeP2Pb | Alexandria via LeMat-Bulk | PBE-GGA | optimized geometry
data_TeP2Pb
_cell_length_a 3.8674
_cell_length_b 4.1737
_cell_length_c 5.8865
_cell_angle_alpha 90.00
_cell_angle_beta 90.00
_cell_angle_gamma 90.00
_space_group_name_H-M_alt 'P m m m'
_space_group_IT_number 47
_space_group_name_Hall '-P 2 2'
loop_
_atom_site_label
_atom_site_type_symbol
_atom_site_fract_x
_atom_site_fract_y
_atom_site_fract_z
Te1 Te 0.0000 0.0000 0.0000
P1 P 0.5000 0.0000 0.5000
P2 P 0.5000 0.5000 0.0000
Pb1 Pb 0.0000 0.5000 0.5000
# E_form (uncorrected), kJ/mol of atoms: 53.8
# Density of states at the Fermi level, states/eV/atom: 0.686
# Excess energy over the best structure of this formula in the dataset, eV per formula unit: 1.80
# E_tot, eV per atom: -3.86
# Calculated density, g/cm3: 6.93

6.
# Al2HPb | Alexandria via LeMat-Bulk | PBE-GGA | optimized geometry
data_Al2HPb
_cell_length_a 6.6934
_cell_length_b 6.6934
_cell_length_c 6.6934
_cell_angle_alpha 90.00
_cell_angle_beta 90.00
_cell_angle_gamma 90.00
_space_group_name_H-M_alt 'F m -3 m'
_space_group_IT_number 225
_space_group_name_Hall '-F 4 2 3'
loop_
_atom_site_label
_atom_site_type_symbol
_atom_site_fract_x
_atom_site_fract_y
_atom_site_fract_z
Al1 Al 0.2500 0.2500 0.2500
H1 H 0.0000 0.0000 0.0000
Pb1 Pb 0.0000 0.0000 0.5000
# Density of states at the Fermi level, states/eV/atom: 0.447
# Excess energy over the best structure of this formula in the dataset, eV per formula unit: 1.15
# E_tot, eV per atom: -3.02
# Calculated density, g/cm3: 5.81

7.
# InSb2As2Pd7 | Alexandria via LeMat-Bulk | PBE-GGA | optimized geometry
data_InSb2As2Pd7
_cell_length_a 5.5710
_cell_length_b 5.5738
_cell_length_c 15.5998
_cell_angle_alpha 90.00
_cell_angle_beta 100.22
_cell_angle_gamma 90.00
_space_group_name_H-M_alt 'C 1 2/m 1'
_space_group_IT_number 12
_space_group_name_Hall '-C 2y'
loop_
_atom_site_label
_atom_site_type_symbol
_atom_site_fract_x
_atom_site_fract_y
_atom_site_fract_z
In1 In 0.0000 0.0000 0.0000
Sb1 Sb 0.2133 0.0000 0.4268
As1 As 0.1168 0.5000 0.2354
Pd1 Pd 0.0000 0.5000 0.0000
Pd2 Pd 0.1810 0.2500 0.8607
Pd3 Pd 0.1984 0.5000 0.3974
# E_form (uncorrected), kJ/mol of atoms: -37.3
# Density of states at the Fermi level, states/eV/atom: 0.339
# E_tot, eV per atom: -5.11
# Calculated density, g/cm3: 8.73

8.
# LuThGaTc | Alexandria via LeMat-Bulk | PBE-GGA | optimized geometry
data_LuThGaTc
_cell_length_a 7.0789
_cell_length_b 7.0789
_cell_length_c 7.0789
_cell_angle_alpha 90.00
_cell_angle_beta 90.00
_cell_angle_gamma 90.00
_space_group_name_H-M_alt 'F -4 3 m'
_space_group_IT_number 216
_space_group_name_Hall 'F -4 2 3'
loop_
_atom_site_label
_atom_site_type_symbol
_atom_site_fract_x
_atom_site_fract_y
_atom_site_fract_z
Lu1 Lu 0.0000 0.0000 0.0000
Th1 Th 0.0000 0.0000 0.5000
Ga1 Ga 0.2500 0.2500 0.7500
Tc1 Tc 0.2500 0.2500 0.2500
# Formation enthalpy at 0 K, eV per atom: -0.262
# Density of states at the Fermi level, states/eV/atom: 0.443
# E_tot, eV per atom: -6.60
# Calculated density, g/cm3: 10.76

9.
# TmTlF | Alexandria via LeMat-Bulk | PBE-GGA | optimized geometry
data_TmTlF
_cell_length_a 3.8970
_cell_length_b 3.8970
_cell_length_c 7.9419
_cell_angle_alpha 90.00
_cell_angle_beta 90.00
_cell_angle_gamma 90.00
_space_group_name_H-M_alt 'P 4/n m m'
_space_group_IT_number 129
loop_
_space_group_symop_operation_xyz
'x,y,z'
'-x,-y,-z'
'-y+1/2,x,z'
'y+1/2,-x,-z'
'-x+1/2,-y+1/2,z'
'x+1/2,y+1/2,-z'
'y,-x+1/2,z'
'-y,x+1/2,-z'
'x+1/2,-y,-z'
'-x+1/2,y,z'
'-y,-x,-z'
'y,x,z'
'-x,y+1/2,-z'
'x,-y+1/2,z'
'y+1/2,x+1/2,-z'
'-y+1/2,-x+1/2,z'
loop_
_atom_site_label
_atom_site_type_symbol
_atom_site_fract_x
_atom_site_fract_y
_atom_site_fract_z
Tm1 Tm 0.2500 0.2500 0.1818
Tl1 Tl 0.2500 0.2500 0.5981
F1 F 0.2500 0.7500 0.0000
# E_form (uncorrected), kJ/mol of atoms: -169.8
# Density of states at the Fermi level, states/eV/atom: 0.639
# E_tot, eV per atom: -4.66
# Calculated density, g/cm3: 10.80

10.
# MnGaRe | Alexandria via LeMat-Bulk | PBE-GGA | optimized geometry
data_MnGaRe
_cell_length_a 2.9055
_cell_length_b 2.9055
_cell_length_c 9.4045
_cell_angle_alpha 90.00
_cell_angle_beta 90.00
_cell_angle_gamma 90.00
_space_group_name_H-M_alt 'I 4 m m'
_space_group_IT_number 107
_space_group_name_Hall 'I 4 -2'
loop_
_atom_site_label
_atom_site_type_symbol
_atom_site_fract_x
_atom_site_fract_y
_atom_site_fract_z
Mn1 Mn 0.0000 0.0000 0.0000
Ga1 Ga 0.0000 0.0000 0.3416
Re1 Re 0.0000 0.0000 0.6555
# Formation enthalpy at 0 K, eV per atom: -0.028
# Density of states at the Fermi level, states/eV/atom: 0.982
# Excess energy over the best structure of this formula in the dataset, eV per formula unit: 0.00
# E_tot, eV per atom: -8.24
# Calculated density, g/cm3: 13.00

Q: Number 1 is which compound?
A: Na2TlVSe

Q: calculated density of number 2 (MgTa2Be)?
A: 10.04 g/cm3

Q: Number 4 is which compound?
A: KScTa2